No. 1
# Cd8Sn2Hg3 | the Alexandria database | PBE-GGA | relaxed
data_Cd8Sn2Hg3
_chemical_formula_sum 'Cd8 Sn2 Hg3'
_space_group_name_H-M_alt 'P 1'
_space_group_IT_number 1
_cell_length_a 8.5424
_cell_length_b 8.5424
_cell_length_c 5.1070
_cell_angle_alpha 90.00
_cell_angle_beta 90.00
_cell_angle_gamma 111.61
loop_
_space_group_symop_operation_xyz
'x,y,z'
loop_
_atom_site_label
_atom_site_fract_x
_atom_site_fract_y
_atom_site_fract_z
Cd1 0.1223 0.8777 0.0000
Cd2 0.1573 0.3939 0.5000
Cd3 0.3531 0.6469 0.0000
Cd4 0.3939 0.1573 0.5000
Cd5 0.6061 0.8427 0.5000
Cd6 0.6469 0.3531 0.0000
Cd7 0.8427 0.6061 0.5000
Cd8 0.8777 0.1223 0.0000
Sn1 0.2355 0.7645 0.5000
Sn2 0.7645 0.2355 0.5000
Hg1 0.0000 0.0000 0.5000
Hg2 0.2777 0.2777 0.0000
Hg3 0.7223 0.7223 0.0000
# D(E_F) ... 4.90 states/eV/f.u.
# ΔE to the lowest computed polymorph ... 0.08 eV per formula unit
# Formation enthalpy at 0 K ... 67 meV/atom
# Energy ... -1.18 eV/atom
# Total magnetic moment ... 0.00 μB/f.u.



No. 2
# Cd4SnHg6 | the Alexandria database | PBE-GGA | relaxed
data_Cd4SnHg6
_chemical_formula_sum 'Cd4 Sn1 Hg6'
_space_group_name_H-M_alt 'P 1'
_space_group_IT_number 1
_cell_length_a 7.5311
_cell_length_b 7.5311
_cell_length_c 7.5311
_cell_angle_alpha 117.05
_cell_angle_beta 117.05
_cell_angle_gamma 95.18
loop_
_space_group_symop_operation_xyz
'x,y,z'
loop_
_atom_site_label
_atom_site_fract_x
_atom_site_fract_y
_atom_site_fract_z
Cd1 0.1380 0.7562 0.0000
Cd2 0.2438 0.2438 0.3818
Cd3 0.7562 0.1380 0.0000
Cd4 0.8620 0.8620 0.6182
Sn1 0.5000 0.5000 0.0000
Hg1 0.0000 0.5000 0.5000
Hg2 0.0885 0.3752 0.0000
Hg3 0.3752 0.0885 0.0000
Hg4 0.5000 0.0000 0.5000
Hg5 0.6248 0.6248 0.7133
Hg6 0.9115 0.9115 0.2867
# D(E_F) ... 4.43 states/eV/f.u.
# Formation enthalpy at 0 K ... 103 meV/atom
# Energy ... -0.76 eV/atom
# Total magnetic moment ... 0.00 μB/f.u.



No. 3
# Cd6SnHg5 | the Alexandria database | PBE-GGA | relaxed
data_Cd6SnHg5
_chemical_formula_sum 'Cd6 Sn1 Hg5'
_space_group_name_H-M_alt 'P 1'
_space_group_IT_number 1
_cell_length_a 6.0243
_cell_length_b 6.0243
_cell_length_c 9.5392
_cell_angle_alpha 95.87
_cell_angle_beta 95.87
_cell_angle_gamma 120.48
loop_
_space_group_symop_operation_xyz
'x,y,z'
loop_
_atom_site_label
_atom_site_fract_x
_atom_site_fract_y
_atom_site_fract_z
Cd1 0.0696 0.4161 0.7463
Cd2 0.2371 0.2371 0.2520
Cd3 0.4161 0.0696 0.7463
Cd4 0.5839 0.9304 0.2537
Cd5 0.7629 0.7629 0.7480
Cd6 0.9304 0.5839 0.2537
Sn1 0.5000 0.5000 0.0000
Hg1 0.0000 0.0000 0.5000
Hg2 0.1678 0.8322 0.0000
Hg3 0.3375 0.6625 0.5000
Hg4 0.6625 0.3375 0.5000
Hg5 0.8322 0.1678 0.0000
# D(E_F) ... 3.83 states/eV/f.u.
# ΔE to the lowest computed polymorph ... 0.00 eV per formula unit
# Formation enthalpy at 0 K ... 24 meV/atom
# Energy ... -0.89 eV/atom
# Total magnetic moment ... 0.00 μB/f.u.



No. 4
# CdSn2Hg4 | the Alexandria database | PBE-GGA | relaxed
data_CdSn2Hg4
_chemical_formula_sum 'Cd2 Sn4 Hg8'
_space_group_name_H-M_alt 'P 1'
_space_group_IT_number 1
_cell_length_a 6.3217
_cell_length_b 6.3217
_cell_length_c 9.7830
_cell_angle_alpha 90.00
_cell_angle_beta 90.00
_cell_angle_gamma 100.78
loop_
_space_group_symop_operation_xyz
'x,y,z'
loop_
_atom_site_label
_atom_site_fract_x
_atom_site_fract_y
_atom_site_fract_z
Cd1 0.0000 0.0000 0.2500
Cd2 0.0000 0.0000 0.7500
Sn1 0.2643 0.7343 0.0000
Sn2 0.2657 0.7357 0.5000
Sn3 0.7343 0.2643 0.5000
Sn4 0.7357 0.2657 0.0000
Hg1 0.0000 0.5000 0.2504
Hg2 0.0000 0.5000 0.7496
Hg3 0.2474 0.2484 0.5000
Hg4 0.2484 0.2474 0.0000
Hg5 0.5000 0.0000 0.2496
Hg6 0.5000 0.0000 0.7504
Hg7 0.7516 0.7526 0.0000
Hg8 0.7526 0.7516 0.5000
# D(E_F) ... 2.73 states/eV/f.u.
# ΔE to the lowest computed polymorph ... 0.00 eV per formula unit
# Formation enthalpy at 0 K ... 78 meV/atom
# Energy ... -1.37 eV/atom
# Total magnetic moment ... 0.00 μB/f.u.



No. 5
# Cd3SnHg12 | the Alexandria database | PBE-GGA | relaxed
data_Cd3SnHg12
_chemical_formula_sum 'Cd3 Sn1 Hg12'
_space_group_name_H-M_alt 'P 1'
_space_group_IT_number 1
_cell_length_a 5.5992
_cell_length_b 5.5992
_cell_length_c 13.1756
_cell_angle_alpha 90.00
_cell_angle_beta 90.00
_cell_angle_gamma 90.00
loop_
_space_group_symop_operation_xyz
'x,y,z'
loop_
_atom_site_label
_atom_site_fract_x
_atom_site_fract_y
_atom_site_fract_z
Cd1 0.0000 0.0000 0.0000
Cd2 0.0000 0.0000 0.2432
Cd3 0.0000 0.0000 0.7568
Sn1 0.0000 0.0000 0.5000
Hg1 0.0000 0.5000 0.1231
Hg2 0.0000 0.5000 0.3705
Hg3 0.0000 0.5000 0.6295
Hg4 0.0000 0.5000 0.8769
Hg5 0.5000 0.0000 0.1231
Hg6 0.5000 0.0000 0.3705
Hg7 0.5000 0.0000 0.6295
Hg8 0.5000 0.0000 0.8769
Hg9 0.5000 0.5000 0.0000
Hg10 0.5000 0.5000 0.2493
Hg11 0.5000 0.5000 0.5000
Hg12 0.5000 0.5000 0.7507
# D(E_F) ... 5.91 states/eV/f.u.
# Formation enthalpy at 0 K ... 43 meV/atom
# Energy ... -0.61 eV/atom
# Total magnetic moment ... 0.00 μB/f.u.



No. 6
# Cd5Sn3Hg12 | the Alexandria database | PBE-GGA | relaxed
data_Cd5Sn3Hg12
_chemical_formula_sum 'Cd20 Sn12 Hg48'
_space_group_name_H-M_alt 'P 1'
_space_group_IT_number 1
_cell_length_a 14.8763
_cell_length_b 14.8763
_cell_length_c 14.8763
_cell_angle_alpha 109.47
_cell_angle_beta 109.47
_cell_angle_gamma 109.47
loop_
_space_group_symop_operation_xyz
'x,y,z'
loop_
_atom_site_label
_atom_site_fract_x
_atom_site_fract_y
_atom_site_fract_z
Cd1 0.0000 0.0000 0.0000
Cd2 0.0000 0.0000 0.5000
Cd3 0.0000 0.5000 0.0000
Cd4 0.0000 0.5000 0.5000
Cd5 0.1250 0.7500 0.8750
Cd6 0.1250 0.8750 0.2500
Cd7 0.2500 0.1250 0.8750
Cd8 0.2500 0.6250 0.3750
Cd9 0.3750 0.2500 0.6250
Cd10 0.3750 0.6250 0.7500
Cd11 0.5000 0.0000 0.0000
Cd12 0.5000 0.0000 0.5000
Cd13 0.5000 0.5000 0.0000
Cd14 0.5000 0.5000 0.5000
Cd15 0.6250 0.3750 0.2500
Cd16 0.6250 0.7500 0.3750
Cd17 0.7500 0.3750 0.6250
Cd18 0.7500 0.8750 0.1250
Cd19 0.8750 0.1250 0.7500
Cd20 0.8750 0.2500 0.1250
Sn1 0.1250 0.2500 0.3750
Sn2 0.1250 0.3750 0.7500
Sn3 0.2500 0.3750 0.1250
Sn4 0.2500 0.8750 0.6250
Sn5 0.3750 0.1250 0.2500
Sn6 0.3750 0.7500 0.1250
Sn7 0.6250 0.2500 0.8750
Sn8 0.6250 0.8750 0.7500
Sn9 0.7500 0.1250 0.3750
Sn10 0.7500 0.6250 0.8750
Sn11 0.8750 0.6250 0.2500
Sn12 0.8750 0.7500 0.6250
Hg1 0.0616 0.2321 0.1340
Hg2 0.0616 0.3294 0.9276
Hg3 0.0724 0.6340 0.4019
Hg4 0.0724 0.9384 0.6706
Hg5 0.0981 0.7321 0.6706
Hg6 0.0981 0.8660 0.4276
Hg7 0.1340 0.0616 0.2321
Hg8 0.1340 0.5724 0.9019
Hg9 0.1706 0.2321 0.5981
Hg10 0.1706 0.4384 0.5724
Hg11 0.2321 0.1340 0.0616
Hg12 0.2321 0.5981 0.1706
Hg13 0.2679 0.3294 0.9019
Hg14 0.2679 0.4384 0.3660
Hg15 0.3294 0.9019 0.2679
Hg16 0.3294 0.9276 0.0616
Hg17 0.3660 0.2679 0.4384
Hg18 0.3660 0.5981 0.9276
Hg19 0.4019 0.0724 0.6340
Hg20 0.4019 0.8294 0.7679
Hg21 0.4276 0.0981 0.8660
Hg22 0.4276 0.8294 0.5616
Hg23 0.4384 0.3660 0.2679
Hg24 0.4384 0.5724 0.1706
Hg25 0.5616 0.4276 0.8294
Hg26 0.5616 0.6340 0.7321
Hg27 0.5724 0.1706 0.4384
Hg28 0.5724 0.9019 0.1340
Hg29 0.5981 0.1706 0.2321
Hg30 0.5981 0.9276 0.3660
Hg31 0.6340 0.4019 0.0724
Hg32 0.6340 0.7321 0.5616
Hg33 0.6706 0.0724 0.9384
Hg34 0.6706 0.0981 0.7321
Hg35 0.7321 0.5616 0.6340
Hg36 0.7321 0.6706 0.0981
Hg37 0.7679 0.4019 0.8294
Hg38 0.7679 0.8660 0.9384
Hg39 0.8294 0.5616 0.4276
Hg40 0.8294 0.7679 0.4019
Hg41 0.8660 0.4276 0.0981
Hg42 0.8660 0.9384 0.7679
Hg43 0.9019 0.1340 0.5724
Hg44 0.9019 0.2679 0.3294
Hg45 0.9276 0.0616 0.3294
Hg46 0.9276 0.3660 0.5981
Hg47 0.9384 0.6706 0.0724
Hg48 0.9384 0.7679 0.8660
# D(E_F) ... 9.79 states/eV/f.u.
# Formation enthalpy at 0 K ... 143 meV/atom
# Energy ... -0.87 eV/atom
# Total magnetic moment ... 0.00 μB/f.u.



No. 7
# Cd3Sn2Hg | the Alexandria database | PBE-GGA | relaxed
data_Cd3Sn2Hg
_chemical_formula_sum 'Cd6 Sn4 Hg2'
_space_group_name_H-M_alt 'P 1'
_space_group_IT_number 1
_cell_length_a 4.9616
_cell_length_b 5.0223
_cell_length_c 13.3936
_cell_angle_alpha 89.98
_cell_angle_beta 88.85
_cell_angle_gamma 86.16
loop_
_space_group_symop_operation_xyz
'x,y,z'
loop_
_atom_site_label
_atom_site_fract_x
_atom_site_fract_y
_atom_site_fract_z
Cd1 0.2038 0.2155 0.0025
Cd2 0.2526 0.2238 0.2533
Cd3 0.2688 0.6193 0.6344
Cd4 0.7312 0.3807 0.3656
Cd5 0.7474 0.7762 0.7467
Cd6 0.7962 0.7845 0.9975
Sn1 0.2383 0.1809 0.4907
Sn2 0.3060 0.7006 0.1252
Sn3 0.6940 0.2994 0.8748
Sn4 0.7617 0.8191 0.5093
Hg1 0.2128 0.1287 0.7557
Hg2 0.7872 0.8713 0.2443
# D(E_F) ... 1.70 states/eV/f.u.
# ΔE to the lowest computed polymorph ... 0.00 eV per formula unit
# Formation enthalpy at 0 K ... 56 meV/atom
# Energy ... -1.79 eV/atom
# Total magnetic moment ... 0.00 μB/f.u.



No. 8
# CdSnHg | the Alexandria database | PBE-GGA | relaxed
data_CdSnHg
_chemical_formula_sum 'Cd2 Sn2 Hg2'
_space_group_name_H-M_alt 'P 1'
_space_group_IT_number 1
_cell_length_a 11.1049
_cell_length_b 11.1049
_cell_length_c 11.1049
_cell_angle_alpha 159.80
_cell_angle_beta 159.80
_cell_angle_gamma 28.71
loop_
_space_group_symop_operation_xyz
'x,y,z'
loop_
_atom_site_label
_atom_site_fract_x
_atom_site_fract_y
_atom_site_fract_z
Cd1 0.2168 0.2168 0.0000
Cd2 0.7832 0.7832 0.0000
Sn1 0.0721 0.0721 0.0000
Sn2 0.9279 0.9279 0.0000
Hg1 0.3620 0.3620 0.0000
Hg2 0.6380 0.6380 0.0000
# D(E_F) ... 1.14 states/eV/f.u.
# Formation enthalpy at 0 K ... 105 meV/atom
# Energy ... -1.64 eV/atom
# Total magnetic moment ... 0.00 μB/f.u.



No. 9
# Sr3Cd2SnHg6 | the Alexandria database | PBE-GGA | relaxed
data_Sr3Cd2SnHg6
_chemical_formula_sum 'Sr3 Cd2 Sn1 Hg6'
_space_group_name_H-M_alt 'P 1'
_space_group_IT_number 1
_cell_length_a 6.4654
_cell_length_b 6.4654
_cell_length_c 9.8182
_cell_angle_alpha 90.00
_cell_angle_beta 90.00
_cell_angle_gamma 120.00
loop_
_space_group_symop_operation_xyz
'x,y,z'
loop_
_atom_site_label
_atom_site_fract_x
_atom_site_fract_y
_atom_site_fract_z
Sr1 0.0000 0.0000 0.0000
Sr2 0.3333 0.6667 0.6080
Sr3 0.6667 0.3333 0.3920
Cd1 0.3333 0.6667 0.9737
Cd2 0.6667 0.3333 0.0263
Sn1 0.0000 0.0000 0.5000
Hg1 0.1782 0.3564 0.2617
Hg2 0.1782 0.8218 0.2617
Hg3 0.3564 0.1782 0.7383
Hg4 0.6436 0.8218 0.2617
Hg5 0.8218 0.1782 0.7383
Hg6 0.8218 0.6436 0.7383
# D(E_F) ... 7.82 states/eV/f.u.
# Formation enthalpy at 0 K ... -270 meV/atom
# Energy ... -1.33 eV/atom
# Total magnetic moment ... 0.00 μB/f.u.